# 1
4
Lattice="-2.008 -2.773 -0.640 2.671 -1.567 -1.592 1.955 -2.811 6.047" Properties=species:S:1:pos:R:3 comment="LiSmAg2 GGA-PBE optimized geometry" delta_e_f_mev_per_atom=-207 dft_energy_ev_per_atom=-3.290 e_above_lowest_polymorph_mev_per_atom=15 total_magnetization_mub_per_fu=0.00 pbc="T T T"
Ag 1.552 -2.231 4.800
Ag 0.403 -0.580 1.247
Sm 1.309 -3.575 1.907
Li 0.332 -2.170 -1.116

=====

# 2
4
Lattice="5.159 0.000 0.000 2.579 4.468 0.000 2.579 1.489 4.212" Properties=species:S:1:pos:R:3 comment="NdHoTlRu GGA-PBE optimized geometry" delta_e_f_mev_per_atom=-193 dft_energy_ev_per_atom=-5.440 total_magnetization_mub_per_fu=0.00 pbc="T T T"
Ru 7.738 4.468 3.159
Tl 2.579 1.489 1.053
Nd 0.000 0.000 0.000
Ho 5.159 2.978 2.106